[1]
# K2MgSb (PBEsol, relaxed)
# DOS at the Fermi energy   2.11 states/eV per cell
# Formation energy from raw total energies   -41 kJ/mol of formula units
# Spin magnetization   0.0 μB per cell
# Energy relative to the lowest polymorph listed for this composition   24 meV/atom
# Mass density   2.84 g/cm³
data_K2MgSb
_cell_length_a 5.070
_cell_length_b 5.070
_cell_length_c 10.199
_cell_angle_alpha 90.00
_cell_angle_beta 90.00
_cell_angle_gamma 90.00
_space_group_name_H-M_alt 'I 4/m m m'
_space_group_IT_number 139
_space_group_name_Hall '-I 4 2'
loop_
_atom_site_label
_atom_site_type_symbol
_atom_site_fract_x
_atom_site_fract_y
_atom_site_fract_z
K1 K 0.000 0.500 0.250
Mg1 Mg 0.000 0.000 0.000
Sb1 Sb 0.000 0.000 0.500



[2]
# KMgSc (PBEsol, relaxed)
# DOS at the Fermi energy   21.58 states/eV per cell
# Spin magnetization   5.0 μB per cell
# ΔH_f (0 K)   0.944 eV/atom
# Mass density   1.57 g/cm³
data_KMgSc
_cell_length_a 7.712
_cell_length_b 7.712
_cell_length_c 7.712
_cell_angle_alpha 90.00
_cell_angle_beta 90.00
_cell_angle_gamma 90.00
_space_group_name_H-M_alt 'F -4 3 m'
_space_group_IT_number 216
_space_group_name_Hall 'F -4 2 3'
loop_
_atom_site_label
_atom_site_type_symbol
_atom_site_fract_x
_atom_site_fract_y
_atom_site_fract_z
K1 K 0.000 0.000 0.000
Mg1 Mg 0.000 0.000 0.500
Sc1 Sc 0.250 0.250 0.250



[3]
# KMgSe2 (PBEsol, relaxed)
# DOS at the Fermi energy   0.66 states/eV per cell
# Formation energy from raw total energies   -320 kJ/mol of formula units
# Spin magnetization   0.0 μB per cell
# Mass density   4.03 g/cm³
data_KMgSe2
_cell_length_a 3.116
_cell_length_b 3.685
_cell_length_c 7.950
_cell_angle_alpha 90.00
_cell_angle_beta 90.00
_cell_angle_gamma 90.00
_space_group_name_H-M_alt 'P m m m'
_space_group_IT_number 47
_space_group_name_Hall '-P 2 2'
loop_
_atom_site_label
_atom_site_type_symbol
_atom_site_fract_x
_atom_site_fract_y
_atom_site_fract_z
K1 K 0.000 0.000 0.000
Mg1 Mg 0.000 0.000 0.500
Se1 Se 0.500 0.500 0.288



[4]
# K3MgSe (PBEsol, relaxed)
# DOS at the Fermi energy   3.53 states/eV per cell
# Formation energy from raw total energies   -181 kJ/mol of formula units
# Spin magnetization   0.1 μB per cell
# Mass density   1.50 g/cm³
data_K3MgSe
_cell_length_a 6.251
_cell_length_b 6.251
_cell_length_c 6.251
_cell_angle_alpha 90.00
_cell_angle_beta 90.00
_cell_angle_gamma 90.00
_space_group_name_H-M_alt 'P m -3 m'
_space_group_IT_number 221
_space_group_name_Hall '-P 4 2 3'
loop_
_atom_site_label
_atom_site_type_symbol
_atom_site_fract_x
_atom_site_fract_y
_atom_site_fract_z
K1 K 0.000 0.000 0.500
Mg1 Mg 0.500 0.500 0.500
Se1 Se 0.000 0.000 0.000



[5]
# KMgSe2 (PBEsol, relaxed)
# DOS at the Fermi energy   1.94 states/eV per cell
# Formation energy from raw total energies   -313 kJ/mol of formula units
# Spin magnetization   0.0 μB per cell
# Mass density   3.31 g/cm³
data_KMgSe2
_cell_length_a 3.616
_cell_length_b 3.616
_cell_length_c 8.487
_cell_angle_alpha 90.00
_cell_angle_beta 90.00
_cell_angle_gamma 90.00
_space_group_name_H-M_alt 'P 4 m m'
_space_group_IT_number 99
_space_group_name_Hall 'P 4 -2'
loop_
_atom_site_label
_atom_site_type_symbol
_atom_site_fract_x
_atom_site_fract_y
_atom_site_fract_z
K1 K 0.000 0.000 0.000
Mg1 Mg 0.500 0.500 0.470
Se1 Se 0.000 0.000 0.372
Se2 Se 0.500 0.500 0.774



[6]
# KMgZnSe2 (PBEsol, relaxed)
# DOS at the Fermi energy   2.83 states/eV per cell
# Formation energy from raw total energies   -120 kJ/mol of formula units
# Spin magnetization   0.0 μB per cell
# Mass density   3.68 g/cm³
data_KMgZnSe2
_cell_length_a 5.167
_cell_length_b 5.167
_cell_length_c 4.852
_cell_angle_alpha 90.00
_cell_angle_beta 90.00
_cell_angle_gamma 90.00
_space_group_name_H-M_alt 'P 4/m m m'
_space_group_IT_number 123
_space_group_name_Hall '-P 4 2'
loop_
_atom_site_label
_atom_site_type_symbol
_atom_site_fract_x
_atom_site_fract_y
_atom_site_fract_z
K1 K 0.000 0.000 0.000
Mg1 Mg 0.500 0.500 0.000
Zn1 Zn 0.500 0.500 0.500
Se1 Se 0.000 0.500 0.500